1.
A geometry-optimized Pr3CoPt structure, computed with PBE.

Results
M_tot in μB per atom: 0.080
Distance to the lowest polymorph of the same formula in meV per atom: 14
ΔH_f (0 K) in eV/atom: -0.445
Mass density in g/cm³: 8.5

abc: 3.921 8.293 8.449
angles: 85.29 90.03 103.69
Element x y z (fractional)
Pt  0.429  0.892  0.295
Pt  0.615  0.263  0.127
Co  0.241  0.516  0.666
Co  0.803  0.638  0.756
Pr  0.622  0.279  0.759
Pr  0.076  0.186  0.388
Pr  0.421  0.875  0.663
Pr  0.253  0.539  0.018
Pr  0.791  0.615  0.403
Pr  0.968  0.968  0.034


2.
A geometry-optimized Pr6CoPt2 structure, computed with PBE.

Results
M_tot in μB per atom: 0.000
ΔH_f (0 K) in eV/atom: -0.527
Mass density in g/cm³: 8.1

abc: 6.861 7.474 10.372
angles: 90.00 86.31 90.00
Element x y z (fractional)
Pr  0.321  0.820  0.563
Pr  0.651  0.460  0.749
Pr  0.327  0.819  0.927
Pr  0.673  0.181  0.073
Pr  0.179  0.320  0.937
Pr  0.679  0.180  0.437
Pr  0.349  0.540  0.251
Pr  0.849  0.960  0.751
Pr  0.827  0.681  0.427
Pr  0.151  0.040  0.249
Pr  0.821  0.680  0.063
Pr  0.173  0.319  0.573
Pt  0.554  0.887  0.268
Pt  0.946  0.387  0.232
Pt  0.054  0.613  0.768
Pt  0.446  0.113  0.732
Co  0.000  0.000  0.500
Co  0.500  0.500  0.000


3.
A geometry-optimized Pr8Co2Pt structure, computed with PBE.

Results
M_tot in μB per atom: 0.000
ΔH_f (0 K) in eV/atom: -0.135
Mass density in g/cm³: 7.3

abc: 6.527 7.593 7.593
angles: 113.59 100.08 100.08
Element x y z (fractional)
Pr  0.785  0.646  0.646
Pr  0.363  0.923  0.647
Pr  0.594  0.354  0.083
Pr  0.594  0.083  0.354
Pr  0.976  0.202  0.790
Pr  0.976  0.790  0.202
Pr  0.363  0.647  0.923
Pr  0.183  0.366  0.366
Pt  0.189  0.010  0.010
Co  0.489  0.319  0.693
Co  0.489  0.693  0.319


4.
A geometry-optimized Pr8CoPt2 structure, computed with PBE.

Results
M_tot in μB per atom: 0.000
ΔH_f (0 K) in eV/atom: -0.418
Mass density in g/cm³: 7.7

abc: 3.992 8.966 9.699
angles: 93.86 101.88 89.99
Element x y z (fractional)
Pt  0.167  0.737  0.334
Pt  0.833  0.263  0.666
Pr  0.995  0.796  0.989
Pr  0.222  0.335  0.446
Pr  0.595  0.530  0.190
Pr  0.778  0.665  0.554
Pr  0.005  0.204  0.011
Pr  0.406  0.470  0.810
Pr  0.349  0.019  0.697
Pr  0.651  0.981  0.303
Co  0.500  0.000  0.000


5.
A geometry-optimized Pr2CoSi4Pt3 structure, computed with PBE.

Results
M_tot in μB per atom: 0.086
Uncorrected formation energy in meV per atom: -1010
Mass density in g/cm³: 9.8

abc: 4.217 4.217 9.929
angles: 90.00 90.00 90.00
Element x y z (fractional)
Pt  0.000  0.500  0.125
Pt  0.000  0.000  0.500
Pt  0.500  0.000  0.875
Si  0.000  0.500  0.375
Si  0.000  0.000  0.000
Si  0.500  0.500  0.000
Si  0.500  0.000  0.625
Co  0.500  0.500  0.500
Pr  0.000  0.500  0.750
Pr  0.500  0.000  0.250


6.
A geometry-optimized PrSmCoPt structure, computed with PBE.

Results
M_tot in μB per atom: 0.104
ΔH_f (0 K) in eV/atom: -0.480
Mass density in g/cm³: 10.2

abc: 5.005 5.005 5.005
angles: 60.00 60.00 60.00
Element x y z (fractional)
Sm  0.500  0.500  0.500
Pr  0.000  0.000  0.000
Co  0.250  0.250  0.250
Pt  0.750  0.750  0.750


M_tot of number 3 (Pr8Co2Pt)?
0.000 μB per atom